{"formula": "ScCdPt2", "functional": "PBE-GGA", "state": "optimized geometry", "e_form_mev_per_atom": -477, "mass_density_g_cm3": 11.70, "m_tot_mub_per_atom": 0.0000, "dos_at_fermi_per_ev_atom": 0.4678, "crystal_system": "tetragonal", "lattice_angstrom": [[7.332, 0.000, 0.000], [0.000, 7.332, 0.000], [3.666, 3.666, 2.891]], "species": ["Sc", "Sc", "Pt", "Pt", "Pt", "Pt", "Cd", "Cd"], "fractional_positions": [[0.500, 0.500, 0.000], [0.250, 0.750, 0.500], [0.610, 0.125, 0.250], [0.140, 0.625, 0.250], [0.375, 0.390, 0.750], [0.875, 0.860, 0.750], [0.000, 0.000, 0.000], [0.750, 0.250, 0.500]]}